First-principles (PBEsol) data for a geometry-optimized K3SiCl structure, as listed in Alexandria.

POSCAR file:
```
K3SiCl
1.0
-2.314 -5.827 -0.439
4.335 -1.395 -4.332
3.919 -1.897 4.532
K Si Cl
3 1 1
Direct
0.000 0.500 0.000 K
0.000 0.000 0.500 K
0.500 0.000 0.000 K
0.000 0.000 0.000 Si
0.500 0.500 0.500 Cl
```

Computed properties:
The crystal system is cubic. The calculation puts the density of states at the Fermi level at 0.6974 states/eV/atom. For the raw formation energy, the calculation gives -0.152 eV per atom. Its space-group type is No. 221.



First-principles (PBEsol) data for a geometry-optimized HgC5 structure, as listed in Alexandria.

POSCAR file:
```
HgC5
1.0
-1.814 1.275 -1.193
-3.115 -4.236 0.209
-0.954 2.745 4.387
C Hg
5 1
Direct
0.500 0.666 0.334 C
0.000 0.750 0.250 C
0.500 0.500 0.500 C
0.000 0.250 0.750 C
0.500 0.334 0.666 C
0.000 0.000 0.000 Hg
```

Computed properties:
The crystal system is orthorhombic. The calculation puts the density of states at the Fermi level at 0.4043 states/eV/atom. The calculation puts the energy at -7.13 eV per atom. Its space-group type is No. 65.



First-principles (PBEsol) data for a geometry-optimized BeTlCr2 structure, as listed in Alexandria.

POSCAR file:
```
BeTlCr2
1.0
-2.885 1.950 -0.808
-0.444 -1.898 -2.997
-0.711 -2.694 3.945
Cr Tl Be
2 1 1
Direct
0.750 0.250 0.500 Cr
0.250 0.750 0.500 Cr
0.500 0.500 0.000 Tl
0.000 0.000 0.000 Be
```

Computed properties:
The crystal system is tetragonal. The calculation puts the density of states at the Fermi level at 1.1914 states/eV/atom. For the energy above the lowest structure with this stoichiometry, the calculation gives 0.095 eV/atom. Its space-group type is No. 139.



First-principles (PBEsol) data for a geometry-optimized BaIn5 structure, as listed in Alexandria.

POSCAR file:
```
BaIn5
1.0
-0.233 -3.621 -3.381
4.490 1.034 -1.416
0.308 -5.108 5.448
Ba In
1 5
Direct
0.000 0.021 0.042 Ba
0.000 0.705 0.410 In
0.000 0.340 0.681 In
0.500 0.551 0.102 In
0.500 0.200 0.400 In
0.500 0.849 0.698 In
```

Computed properties:
The crystal system is orthorhombic. The calculation puts the density of states at the Fermi level at 0.4281 states/eV/atom. The calculation puts the energy at -3.08 eV per atom. Its space-group type is No. 38.



First-principles (PBEsol) data for a geometry-optimized ScIn2Hg structure, as listed in Alexandria.

POSCAR file:
```
ScIn2Hg
1.0
-0.645 2.012 -2.618
-4.159 1.962 2.533
4.135 2.976 1.269
Sc Hg In
1 1 2
Direct
0.500 0.000 0.000 Sc
0.500 0.500 0.500 Hg
0.000 0.500 0.000 In
0.000 0.000 0.500 In
```

Computed properties:
The crystal system is orthorhombic. The calculation puts the density of states at the Fermi level at 0.4891 states/eV/atom. The calculation puts the energy at -3.59 eV per atom. Its space-group type is No. 65.



First-principles (PBEsol) data for a geometry-optimized Cs2PCl structure, as listed in Alexandria.

POSCAR file:
```
Cs2PCl
1.0
-3.166 -5.959 -4.107
6.007 -2.642 4.397
-5.421 3.146 4.808
Cs P Cl
4 2 2
Direct
0.022 0.647 0.125 Cs
0.978 0.103 0.625 Cs
0.478 0.375 0.353 Cs
0.522 0.875 0.897 Cs
0.000 0.500 0.500 P
0.500 0.250 0.750 P
0.000 0.000 0.000 Cl
0.500 0.750 0.250 Cl
```

Computed properties:
The crystal system is tetragonal. The calculation puts the density of states at the Fermi level at 0.8206 states/eV/atom. For the raw formation energy, the calculation gives -0.511 eV per atom. Its space-group type is No. 122.



First-principles (PBEsol) data for a geometry-optimized ScZnSi3 structure, as listed in Alexandria.

POSCAR file:
```
ScZnSi3
1.0
4.963 0.000 0.000
0.000 4.963 0.000
0.000 0.000 4.963
Sc Zn Si
1 1 3
Direct
0.000 0.000 0.000 Sc
0.500 0.500 0.500 Zn
0.000 0.500 0.000 Si
0.000 0.000 0.500 Si
0.500 0.000 0.000 Si
```

Computed properties:
The crystal system is cubic. The calculation puts the density of states at the Fermi level at 0.9468 states/eV/atom. For the raw formation energy, the calculation gives 1.030 eV per atom. Its space-group type is No. 221.



First-principles (PBEsol) data for a geometry-optimized ZnHg3 structure, as listed in Alexandria.

POSCAR file:
```
ZnHg3
1.0
3.036 0.000 0.000
0.000 4.618 0.000
-1.518 -2.309 6.100
Zn Hg
1 3
Direct
0.000 0.500 0.000 Zn
0.698 0.698 0.395 Hg
0.500 0.000 0.000 Hg
0.302 0.302 0.605 Hg
```

Computed properties:
The crystal system is orthorhombic. The calculation puts the density of states at the Fermi level at 0.3023 states/eV/atom. For the energy above the lowest structure with this stoichiometry, the calculation gives 0.000 eV/atom. Its space-group type is No. 71.



First-principles (PBEsol) data for a geometry-optimized MgCrCd2 structure, as listed in Alexandria.

POSCAR file:
```
MgCrCd2
1.0
3.458 0.000 0.000
0.000 3.458 0.000
0.000 0.000 6.426
Cd Cr Mg
2 1 1
Direct
0.000 0.000 0.998 Cd
0.500 0.500 0.267 Cd
0.000 0.000 0.495 Cr
0.500 0.500 0.740 Mg
```

Computed properties:
The crystal system is tetragonal. The calculation puts the density of states at the Fermi level at 0.4024 states/eV/atom. The calculation puts the energy at -3.30 eV per atom. Its space-group type is No. 99.



First-principles (PBEsol) data for a geometry-optimized Mg2SbBr structure, as listed in Alexandria.

POSCAR file:
```
Mg2SbBr
1.0
3.420 0.000 0.000
0.000 5.221 0.000
0.000 0.000 5.221
Br Mg Sb
1 2 1
Direct
0.500 0.000 0.000 Br
0.000 0.000 0.500 Mg
0.000 0.500 0.000 Mg
0.500 0.500 0.500 Sb
```

Computed properties:
The crystal system is tetragonal. The calculation puts the density of states at the Fermi level at 0.1935 states/eV/atom. For the raw formation energy, the calculation gives -0.457 eV per atom. For the energy above the lowest structure with this stoichiometry, the calculation gives 0.185 eV/atom. Its space-group type is No. 123.



First-principles (PBEsol) data for a geometry-optimized ScCd2 structure, as listed in Alexandria.

POSCAR file:
```
ScCd2
1.0
3.174 0.000 0.000
0.000 3.174 0.000
-1.587 -1.587 6.123
Sc Cd
1 2
Direct
0.500 0.500 0.000 Sc
0.832 0.832 0.663 Cd
0.168 0.168 0.337 Cd
```

Computed properties:
The crystal system is tetragonal. The calculation puts the density of states at the Fermi level at 0.7064 states/eV/atom. The calculation puts the energy at -3.25 eV per atom. Its space-group type is No. 139.



First-principles (PBEsol) data for a geometry-optimized Ba2ZrRh structure, as listed in Alexandria.

POSCAR file:
```
Ba2ZrRh
1.0
3.564 0.000 0.000
0.000 4.953 0.000
0.000 0.000 6.239
Ba Rh Zr
2 1 1
Direct
0.000 0.000 0.758 Ba
0.000 0.000 0.242 Ba
0.500 0.500 0.000 Rh
0.500 0.500 0.500 Zr
```

Computed properties:
The crystal system is orthorhombic. The calculation puts the density of states at the Fermi level at 1.1820 states/eV/atom. For the energy above the lowest structure with this stoichiometry, the calculation gives 0.112 eV/atom. Its space-group type is No. 47.



Please write out number 12 again, unchanged.
First-principles (PBEsol) data for a geometry-optimized Ba2ZrRh structure, as listed in Alexandria.

POSCAR file:
```
Ba2ZrRh
1.0
3.564 0.000 0.000
0.000 4.953 0.000
0.000 0.000 6.239
Ba Rh Zr
2 1 1
Direct
0.000 0.000 0.758 Ba
0.000 0.000 0.242 Ba
0.500 0.500 0.000 Rh
0.500 0.500 0.500 Zr
```

Computed properties:
The crystal system is orthorhombic. The calculation puts the density of states at the Fermi level at 1.1820 states/eV/atom. For the energy above the lowest structure with this stoichiometry, the calculation gives 0.112 eV/atom. Its space-group type is No. 47.